[1]
VASP calculation (GGA-PBE) on a geometry-optimized Pr8Sb2Pd3 structure.

POSCAR file:
```
Pr8Sb2Pd3
1.0
-0.990 -3.922 5.951
-3.365 -6.087 -4.571
9.071 1.059 -0.512
Pr Sb Pd
8 2 3
Direct
0.872 0.595 0.189
0.128 0.405 0.811
0.905 0.103 0.207
0.095 0.897 0.793
0.596 0.639 0.780
0.596 0.141 0.780
0.404 0.859 0.220
0.404 0.361 0.220
0.331 0.251 0.503
0.669 0.749 0.497
0.500 0.000 0.000
0.000 0.253 0.000
0.000 0.747 0.000
```

Calculated values
- size of the total moment (μB per formula unit) = 0.0
- symmetry = C2/m
- energy relative to the elements, uncorrected (eV per atom) = -0.5094



[2]
VASP calculation (GGA-PBE) on a geometry-optimized Pr3Sb2Pd7 structure.

POSCAR file:
```
Pr3Sb2Pd7
1.0
-4.042 -1.269 -0.280
1.153 -3.924 1.139
-0.580 6.004 13.363
Pr Sb Pd
3 2 7
Direct
0.325 0.325 0.650
0.675 0.675 0.350
0.500 0.500 0.000
0.129 0.129 0.258
0.871 0.871 0.742
0.000 0.000 0.000
0.926 0.426 0.852
0.426 0.926 0.852
0.074 0.574 0.148
0.574 0.074 0.148
0.224 0.224 0.448
0.776 0.776 0.552
```

Calculated values
- size of the total moment (μB per formula unit) = 0.0
- symmetry = I4/mmm
- energy relative to the elements, uncorrected (eV per atom) = -0.7159



[3]
VASP calculation (GGA-PBE) on a geometry-optimized Pr2Sb5Pd3 structure.

POSCAR file:
```
Pr2Sb5Pd3
1.0
-4.687 -4.716 0.088
-0.477 -4.378 -8.849
4.148 -8.839 -1.538
Pr Sb Pd
4 10 6
Direct
0.103 0.649 0.145
0.603 0.145 0.649
0.897 0.351 0.855
0.397 0.855 0.351
0.389 0.223 0.000
0.889 0.000 0.223
0.611 0.777 0.000
0.111 0.000 0.777
0.523 0.727 0.727
0.477 0.273 0.273
0.750 0.500 0.500
0.250 0.500 0.500
0.977 0.273 0.273
0.023 0.727 0.727
0.389 0.492 0.730
0.889 0.730 0.492
0.611 0.508 0.270
0.111 0.270 0.508
0.250 0.000 0.000
0.750 0.000 0.000
```

Calculated values
- size of the total moment (μB per formula unit) = 0.0
- symmetry = Ibam
- energy relative to the elements, uncorrected (eV per atom) = -0.6215



[4]
VASP calculation (GGA-PBE) on a geometry-optimized PrSb3Pd5 structure.

POSCAR file:
```
PrSb3Pd5
1.0
-1.966 -3.210 -2.397
5.676 -3.351 3.987
-7.262 -2.011 8.648
Pr Sb Pd
2 6 10
Direct
0.756 0.513 0.750
0.244 0.487 0.250
0.370 0.740 0.919
0.907 0.815 0.250
0.370 0.740 0.581
0.630 0.260 0.419
0.093 0.185 0.750
0.630 0.260 0.081
0.810 0.621 0.467
0.190 0.379 0.967
0.000 0.000 0.500
0.000 0.000 0.000
0.446 0.892 0.128
0.554 0.108 0.872
0.554 0.108 0.628
0.810 0.621 0.033
0.190 0.379 0.533
0.446 0.892 0.372
```

Calculated values
- size of the total moment (μB per formula unit) = 0.0
- symmetry = Cmcm
- energy relative to the elements, uncorrected (eV per atom) = -0.6093



[5]
VASP calculation (GGA-PBE) on a geometry-optimized Pr2ScSb3Pd4 structure.

POSCAR file:
```
Pr2ScSb3Pd4
1.0
-3.046 -2.463 -2.084
3.191 -2.722 -1.448
-1.230 -6.467 9.443
Pr Sc Sb Pd
2 1 3 4
Direct
0.500 0.000 0.225
0.000 0.500 0.775
0.500 0.500 0.500
0.000 0.000 0.500
0.500 0.000 0.865
0.000 0.500 0.135
0.500 0.500 0.000
0.000 0.000 0.000
0.500 0.000 0.638
0.000 0.500 0.362
```

Calculated values
- size of the total moment (μB per formula unit) = 0.0
- symmetry = P-4m2
- energy relative to the elements, uncorrected (eV per atom) = -0.9160



[6]
VASP calculation (GGA-PBE) on a geometry-optimized Pr3Si2SbPd9 structure.

POSCAR file:
```
Pr3Si2SbPd9
1.0
6.445 0.000 0.000
-3.223 5.582 0.000
0.000 0.000 9.070
Pr Si Sb Pd
3 2 1 9
Direct
0.333 0.667 0.699
0.000 0.000 0.000
0.667 0.333 0.301
0.333 0.667 0.167
0.667 0.333 0.833
0.000 0.000 0.500
0.851 0.149 0.725
0.851 0.703 0.725
0.297 0.149 0.725
0.703 0.851 0.275
0.149 0.297 0.275
0.149 0.851 0.275
0.500 0.000 0.000
0.000 0.500 0.000
0.500 0.500 0.000
```

Calculated values
- size of the total moment (μB per formula unit) = 0.0
- symmetry = P-3m1
- energy relative to the elements, uncorrected (eV per atom) = -0.6339



[7]
VASP calculation (GGA-PBE) on a geometry-optimized Pr3SnSb2Pd9 structure.

POSCAR file:
```
Pr3SnSb2Pd9
1.0
-1.939 -6.303 1.872
-0.138 1.807 -6.612
8.665 -2.960 -0.990
Pr Sn Sb Pd
3 1 2 9
Direct
0.333 0.667 0.743
0.000 0.000 0.000
0.667 0.333 0.257
0.000 0.000 0.500
0.333 0.667 0.191
0.667 0.333 0.809
0.867 0.133 0.728
0.867 0.733 0.728
0.267 0.133 0.728
0.733 0.867 0.272
0.133 0.267 0.272
0.133 0.867 0.272
0.500 0.000 0.000
0.000 0.500 0.000
0.500 0.500 0.000
```

Calculated values
- size of the total moment (μB per formula unit) = 0.0
- symmetry = P-3m1
- energy relative to the elements, uncorrected (eV per atom) = -0.4777



[8]
VASP calculation (GGA-PBE) on a geometry-optimized PrSn2Sb2Pd7 structure.

POSCAR file:
```
PrSn2Sb2Pd7
1.0
-2.625 -2.607 1.712
2.319 -0.108 3.351
-8.041 11.407 6.859
Pr Sn Sb Pd
1 2 2 7
Direct
0.000 0.000 0.000
0.863 0.863 0.415
0.137 0.137 0.585
0.549 0.549 0.748
0.451 0.451 0.252
0.500 0.500 0.000
0.377 0.377 0.422
0.623 0.623 0.578
0.972 0.472 0.144
0.472 0.972 0.144
0.528 0.028 0.856
0.028 0.528 0.856
```

Calculated values
- size of the total moment (μB per formula unit) = 0.0
- symmetry = C2/m
- energy relative to the elements, uncorrected (eV per atom) = -0.4405